Model one:
VASP calculation (PBE) on crystalline CeYCd2 at its relaxed geometry.

CIF file:
```
data_CeYCd2
_chemical_formula_sum 'Ce1 Y1 Cd2'
_cell_length_a 3.4457
_cell_length_b 3.4457
_cell_length_c 8.9129
_cell_angle_alpha 90.00
_cell_angle_beta 90.00
_cell_angle_gamma 90.00
_space_group_name_H-M_alt 'P 1'
_space_group_IT_number 1
_space_group_name_Hall 'P 1'
loop_
_atom_site_label
_atom_site_fract_x
_atom_site_fract_y
_atom_site_fract_z
Y1 0.5000 0.5000 0.0000
Ce1 0.5000 0.5000 0.5000
Cd1 0.0000 0.0000 0.7594
Cd2 0.0000 0.0000 0.2406
```

Model two:
VASP calculation (PBE) on crystalline CeYCd2 at its relaxed geometry.

CIF file:
```
data_CeYCd2
_chemical_formula_sum 'Ce1 Y1 Cd2'
_cell_length_a 4.4368
_cell_length_b 4.9251
_cell_length_c 4.9251
_cell_angle_alpha 90.00
_cell_angle_beta 90.00
_cell_angle_gamma 90.00
_space_group_name_H-M_alt 'P 1'
_space_group_IT_number 1
_space_group_name_Hall 'P 1'
loop_
_atom_site_label
_atom_site_fract_x
_atom_site_fract_y
_atom_site_fract_z
Y1 0.5000 0.0000 0.0000
Ce1 0.5000 0.5000 0.5000
Cd1 0.0000 0.0000 0.5000
Cd2 0.0000 0.5000 0.0000
```

Model three:
VASP calculation (PBE) on crystalline CeYCd2 at its relaxed geometry.

CIF file:
```
data_CeYCd2
_chemical_formula_sum 'Ce1 Y1 Cd2'
_cell_length_a 3.4803
_cell_length_b 3.4803
_cell_length_c 10.7012
_cell_angle_alpha 80.64
_cell_angle_beta 80.64
_cell_angle_gamma 60.00
_space_group_name_H-M_alt 'P 1'
_space_group_IT_number 1
_space_group_name_Hall 'P 1'
loop_
_atom_site_label
_atom_site_fract_x
_atom_site_fract_y
_atom_site_fract_z
Y1 0.5000 0.5000 0.5000
Ce1 0.0000 0.0000 0.0000
Cd1 0.2475 0.2475 0.2574
Cd2 0.7525 0.7525 0.7426
```

Top of the stability list: model one, leading by 4.9 kJ/mol of atoms.

Model one:
VASP calculation (PBE) on crystalline CeYCd at its relaxed geometry.

CIF file:
```
data_CeYCd
_chemical_formula_sum 'Ce1 Y1 Cd1'
_cell_length_a 3.4821
_cell_length_b 3.4821
_cell_length_c 7.4720
_cell_angle_alpha 103.47
_cell_angle_beta 103.47
_cell_angle_gamma 90.00
_space_group_name_H-M_alt 'P 1'
_space_group_IT_number 1
_space_group_name_Hall 'P 1'
loop_
_atom_site_label
_atom_site_fract_x
_atom_site_fract_y
_atom_site_fract_z
Y1 0.3215 0.3215 0.6429
Ce1 0.0078 0.0078 0.0157
Cd1 0.6707 0.6707 0.3414
```

Model two:
VASP calculation (PBE) on crystalline CeYCd at its relaxed geometry.

CIF file:
```
data_CeYCd
_chemical_formula_sum 'Ce4 Y4 Cd4'
_cell_length_a 5.3748
_cell_length_b 7.1490
_cell_length_c 8.8405
_cell_angle_alpha 101.69
_cell_angle_beta 90.00
_cell_angle_gamma 90.00
_space_group_name_H-M_alt 'P 1'
_space_group_IT_number 1
_space_group_name_Hall 'P 1'
loop_
_atom_site_label
_atom_site_fract_x
_atom_site_fract_y
_atom_site_fract_z
Y1 0.2500 0.2934 0.6718
Y2 0.7500 0.2066 0.3282
Y3 0.7500 0.7066 0.3282
Y4 0.2500 0.7934 0.6718
Ce1 0.2500 0.6351 0.0366
Ce2 0.2500 0.1351 0.0366
Ce3 0.7500 0.3649 0.9634
Ce4 0.7500 0.8649 0.9634
Cd1 0.2501 0.9648 0.3590
Cd2 0.2499 0.4648 0.3590
Cd3 0.7499 0.0352 0.6410
Cd4 0.7501 0.5352 0.6410
```

Top of the stability list: model two, leading by 4.5 kJ/mol of atoms.

Model one:
VASP calculation (PBE) on crystalline CeZn2Cd at its relaxed geometry.

CIF file:
```
data_CeZn2Cd
_chemical_formula_sum 'Ce1 Zn2 Cd1'
_cell_length_a 4.8945
_cell_length_b 4.8945
_cell_length_c 4.8945
_cell_angle_alpha 60.00
_cell_angle_beta 60.00
_cell_angle_gamma 60.00
_space_group_name_H-M_alt 'P 1'
_space_group_IT_number 1
_space_group_name_Hall 'P 1'
loop_
_atom_site_label
_atom_site_fract_x
_atom_site_fract_y
_atom_site_fract_z
Zn1 0.2500 0.2500 0.2500
Zn2 0.7500 0.7500 0.7500
Ce1 0.0000 0.0000 0.0000
Cd1 0.5000 0.5000 0.5000
```

Model two:
VASP calculation (PBE) on crystalline CeZn2Cd at its relaxed geometry.

CIF file:
```
data_CeZn2Cd
_chemical_formula_sum 'Ce1 Zn2 Cd1'
_cell_length_a 3.9229
_cell_length_b 4.7655
_cell_length_c 4.7655
_cell_angle_alpha 90.00
_cell_angle_beta 90.00
_cell_angle_gamma 90.00
_space_group_name_H-M_alt 'P 1'
_space_group_IT_number 1
_space_group_name_Hall 'P 1'
loop_
_atom_site_label
_atom_site_fract_x
_atom_site_fract_y
_atom_site_fract_z
Zn1 0.0000 0.0000 0.5000
Zn2 0.0000 0.5000 0.0000
Ce1 0.5000 0.5000 0.5000
Cd1 0.5000 0.0000 0.0000
```

Top of the stability list: model one, leading by 18.3 kJ/mol of atoms.